Entry 1:
# PBE ErVPt, optimized geometry
data_ErVPt
_cell_length_a 9.885
_cell_length_b 3.438
_cell_length_c 7.005
_cell_angle_alpha 90.00
_cell_angle_beta 108.39
_cell_angle_gamma 90.00
_space_group_name_H-M_alt 'C 1 2/m 1'
_space_group_IT_number 12
loop_
_space_group_symop_operation_xyz
'x,y,z'
'-x,-y,-z'
'-x,y,-z'
'x,-y,z'
'x+1/2,y+1/2,z'
'-x+1/2,-y+1/2,-z'
'-x+1/2,y+1/2,-z'
'x+1/2,-y+1/2,z'
loop_
_atom_site_label
_atom_site_fract_x
_atom_site_fract_y
_atom_site_fract_z
Er1 0.147 0.000 0.313
V1 0.180 0.000 0.878
Pt1 0.000 0.500 0.000
Pt2 0.000 0.500 0.500
# Energy relative to the elements = -0.3378 eV/atom
# E = -6.9118 eV/atom

Entry 2:
# PBE Er2VPt9, optimized geometry
data_Er2VPt9
_cell_length_a 4.037
_cell_length_b 4.037
_cell_length_c 12.140
_cell_angle_alpha 90.00
_cell_angle_beta 90.00
_cell_angle_gamma 90.00
_space_group_name_H-M_alt 'P 4/m m m'
_space_group_IT_number 123
_space_group_name_Hall '-P 4 2'
loop_
_atom_site_label
_atom_site_fract_x
_atom_site_fract_y
_atom_site_fract_z
Er1 0.000 0.000 0.169
V1 0.000 0.000 0.500
Pt1 0.000 0.500 0.000
Pt2 0.000 0.500 0.347
Pt3 0.500 0.500 0.173
Pt4 0.500 0.500 0.500
# Energy relative to the elements = -0.8686 eV/atom
# E = -6.9196 eV/atom

Entry 3:
# PBE Y2Er2Pt3, optimized geometry
data_Y2Er2Pt3
_cell_length_a 8.702
_cell_length_b 8.702
_cell_length_c 8.702
_cell_angle_alpha 90.00
_cell_angle_beta 90.00
_cell_angle_gamma 90.00
_space_group_name_H-M_alt 'I 21 3'
_space_group_IT_number 199
_space_group_name_Hall 'I 2b 2c 3'
loop_
_atom_site_label
_atom_site_fract_x
_atom_site_fract_y
_atom_site_fract_z
Y1 0.186 0.186 0.186
Er1 0.063 0.437 0.563
Pt1 0.000 0.250 0.872
# Energy relative to the elements = -1.1151 eV/atom
# E = -6.8546 eV/atom

Entry 4:
# PBE YEr3Pt12, optimized geometry
data_YEr3Pt12
_cell_length_a 4.113
_cell_length_b 4.113
_cell_length_c 16.386
_cell_angle_alpha 90.00
_cell_angle_beta 90.00
_cell_angle_gamma 90.00
_space_group_name_H-M_alt 'P 4/m m m'
_space_group_IT_number 123
_space_group_name_Hall '-P 4 2'
loop_
_atom_site_label
_atom_site_fract_x
_atom_site_fract_y
_atom_site_fract_z
Y1 0.000 0.000 0.000
Er1 0.000 0.000 0.251
Er2 0.000 0.000 0.500
Pt1 0.000 0.500 0.127
Pt2 0.000 0.500 0.375
Pt3 0.500 0.500 0.000
Pt4 0.500 0.500 0.251
Pt5 0.500 0.500 0.500
# Energy relative to the elements = -1.0512 eV/atom
# E = -6.8414 eV/atom

Entry 5:
# PBE YEr5Pt6, optimized geometry
data_YEr5Pt6
_cell_length_a 8.490
_cell_length_b 14.727
_cell_length_c 4.913
_cell_angle_alpha 90.00
_cell_angle_beta 125.30
_cell_angle_gamma 90.00
_space_group_name_H-M_alt 'C 1 2/m 1'
_space_group_IT_number 12
loop_
_space_group_symop_operation_xyz
'x,y,z'
'-x,-y,-z'
'-x,y,-z'
'x,-y,z'
'x+1/2,y+1/2,z'
'-x+1/2,-y+1/2,-z'
'-x+1/2,y+1/2,-z'
'x+1/2,-y+1/2,z'
loop_
_atom_site_label
_atom_site_fract_x
_atom_site_fract_y
_atom_site_fract_z
Y1 0.000 0.000 0.000
Er1 0.000 0.166 0.500
Er2 0.000 0.333 0.000
Er3 0.000 0.500 0.500
Pt1 0.245 0.500 0.245
Pt2 0.248 0.332 0.748
# Energy relative to the elements = -1.2565 eV/atom
# E = -6.7168 eV/atom

Entry 6:
# PBE YEr2Pt3, optimized geometry
data_YEr2Pt3
_cell_length_a 4.938
_cell_length_b 14.825
_cell_length_c 3.442
_cell_angle_alpha 90.00
_cell_angle_beta 90.00
_cell_angle_gamma 90.00
_space_group_name_H-M_alt 'P m m n'
_space_group_IT_number 59
loop_
_space_group_symop_operation_xyz
'x,y,z'
'-x,-y,-z'
'-x+1/2,-y+1/2,z'
'x+1/2,y+1/2,-z'
'x+1/2,-y,-z'
'-x+1/2,y,z'
'-x,y+1/2,-z'
'x,-y+1/2,z'
loop_
_atom_site_label
_atom_site_fract_x
_atom_site_fract_y
_atom_site_fract_z
Y1 0.250 0.250 0.001
Er1 0.250 0.583 0.000
Pt1 0.250 0.080 0.501
Pt2 0.250 0.750 0.499
# Energy relative to the elements = -1.2445 eV/atom
# E = -6.8632 eV/atom

Entry 7:
# PBE Y2ErPt, optimized geometry
data_Y2ErPt
_cell_length_a 3.751
_cell_length_b 12.172
_cell_length_c 9.569
_cell_angle_alpha 90.00
_cell_angle_beta 90.00
_cell_angle_gamma 90.00
_space_group_name_H-M_alt 'C m c m'
_space_group_IT_number 63
_space_group_name_Hall '-C 2c 2'
loop_
_atom_site_label
_atom_site_fract_x
_atom_site_fract_y
_atom_site_fract_z
Y1 0.000 0.136 0.065
Er1 0.000 0.425 0.250
Pt1 0.000 0.255 0.750
# Energy relative to the elements = -0.6754 eV/atom
# E above lowest polymorph = 44 meV/atom
# E = -6.5584 eV/atom

Entry 8:
# PBE YEr4Pt2, optimized geometry
data_YEr4Pt2
_cell_length_a 7.758
_cell_length_b 6.322
_cell_length_c 7.992
_cell_angle_alpha 90.00
_cell_angle_beta 112.40
_cell_angle_gamma 90.00
_space_group_name_H-M_alt 'P 1 21/m 1'
_space_group_IT_number 11
loop_
_space_group_symop_operation_xyz
'x,y,z'
'-x,-y,-z'
'-x,y+1/2,-z'
'x,-y+1/2,z'
loop_
_atom_site_label
_atom_site_fract_x
_atom_site_fract_y
_atom_site_fract_z
Y1 0.152 0.250 0.023
Er1 0.017 0.250 0.387
Er2 0.251 0.750 0.346
Er3 0.410 0.004 0.768
Pt1 0.251 0.750 0.991
Pt2 0.377 0.250 0.416
# Energy relative to the elements = -0.7249 eV/atom
# E = -5.9816 eV/atom

Entry 9:
# PBE YErPt2, optimized geometry
data_YErPt2
_cell_length_a 4.443
_cell_length_b 3.777
_cell_length_c 10.549
_cell_angle_alpha 90.00
_cell_angle_beta 90.00
_cell_angle_gamma 90.00
_space_group_name_H-M_alt 'A m m 2'
_space_group_IT_number 38
loop_
_space_group_symop_operation_xyz
'x,y,z'
'-x,-y,z'
'-x,y,z'
'x,-y,z'
'x,y+1/2,z+1/2'
'-x,-y+1/2,z+1/2'
'-x,y+1/2,z+1/2'
'x,-y+1/2,z+1/2'
loop_
_atom_site_label
_atom_site_fract_x
_atom_site_fract_y
_atom_site_fract_z
Y1 0.000 0.000 0.000
Er1 0.500 0.000 0.277
Pt1 0.000 0.000 0.727
Pt2 0.500 0.000 0.552
# Energy relative to the elements = -1.2825 eV/atom
# E above lowest polymorph = 0 meV/atom
# E = -7.0596 eV/atom

Entry 10:
# PBE Y2Er3Pt4, optimized geometry
data_Y2Er3Pt4
_cell_length_a 7.617
_cell_length_b 7.649
_cell_length_c 7.537
_cell_angle_alpha 90.00
_cell_angle_beta 109.84
_cell_angle_gamma 90.00
_space_group_name_H-M_alt 'P 1 21/c 1'
_space_group_IT_number 14
loop_
_space_group_symop_operation_xyz
'x,y,z'
'-x,-y,-z'
'-x,y+1/2,-z+1/2'
'x,-y+1/2,z+1/2'
loop_
_atom_site_label
_atom_site_fract_x
_atom_site_fract_y
_atom_site_fract_z
Y1 0.193 0.179 0.072
Er1 0.244 0.666 0.246
Er2 0.500 0.000 0.500
Pt1 0.086 0.536 0.851
Pt2 0.491 0.135 0.868
# Energy relative to the elements = -1.2029 eV/atom
# E = -6.8451 eV/atom

Entry 11:
# PBE Y2Er3Pt2, optimized geometry
data_Y2Er3Pt2
_cell_length_a 12.173
_cell_length_b 3.765
_cell_length_c 8.987
_cell_angle_alpha 90.00
_cell_angle_beta 116.67
_cell_angle_gamma 90.00
_space_group_name_H-M_alt 'C 1 2/m 1'
_space_group_IT_number 12
loop_
_space_group_symop_operation_xyz
'x,y,z'
'-x,-y,-z'
'-x,y,-z'
'x,-y,z'
'x+1/2,y+1/2,z'
'-x+1/2,-y+1/2,-z'
'-x+1/2,y+1/2,-z'
'x+1/2,-y+1/2,z'
loop_
_atom_site_label
_atom_site_fract_x
_atom_site_fract_y
_atom_site_fract_z
Y1 0.161 0.000 0.310
Er1 0.000 0.500 0.500
Er2 0.115 0.500 0.936
Pt1 0.171 0.000 0.739
# Energy relative to the elements = -0.8133 eV/atom
# E = -6.3416 eV/atom

Entry 12:
# PBE Y2ErPt, optimized geometry
data_Y2ErPt
_cell_length_a 3.6768
_cell_length_b 3.6768
_cell_length_c 31.6216
_cell_angle_alpha 90.00
_cell_angle_beta 90.00
_cell_angle_gamma 120.00
_space_group_name_H-M_alt 'R -3 m'
_space_group_IT_number 166
_space_group_name_Hall '-R 3 2"'
loop_
_atom_site_label
_atom_site_fract_x
_atom_site_fract_y
_atom_site_fract_z
Y1 0.0000 0.0000 0.1084
Er1 0.0000 0.0000 0.0000
Pt1 0.0000 0.0000 0.5000
# Energy relative to the elements = -0.2647 eV/atom
# E above lowest polymorph = 455 meV/atom
# E = -6.1476 eV/atom